Record 1
First-principles (PBE) data for an optimized crystal structure of EuScRu4, as listed in Alexandria via LeMat-Bulk.

Structure (extended XYZ):
```
6
Lattice="0.000 3.748 3.748 3.748 0.000 3.748 3.748 3.748 0.000" Properties=species:S:1:pos:R:3 pbc="T T T"
Eu 0.000 0.000 0.000
Sc 5.622 5.622 5.622
Ru 2.814 2.814 2.814
Ru 4.681 4.681 2.814
Ru 4.681 2.814 4.681
Ru 2.814 4.681 4.681
```

## Properties
* space-group type: F-43m (216)


Record 2
First-principles (PBE) data for an optimized crystal structure of ZnRh2Au, as listed in Alexandria via LeMat-Bulk.

Structure (extended XYZ):
```
4
Lattice="2.821 0.000 0.000 0.000 3.785 0.000 -0.018 0.000 5.691" Properties=species:S:1:pos:R:3 pbc="T T T"
Zn 0.000 0.000 0.000
Rh -0.009 0.000 3.049
Rh 1.402 1.892 4.274
Au 1.406 1.892 1.424
```

## Properties
* space-group type: Pm (6)


no.,energy of formation from the pure elements (eV/atom),E_tot (eV/atom)
1,-0.095,-9.05
2,-0.065,-4.88